1.
42
Lattice="0.0000 6.6763 6.6763 6.6763 0.0000 6.6763 6.6763 6.6763 0.0000" Properties=species:S:1:pos:R:3 comment="Ba3Zn5In2O11 GGA-PBEsol relaxed" raw_formation_energy_ev_per_atom=-1.8467 pbc="T T T"
Ba 6.6763 6.6763 2.7555
Ba 6.6763 2.7555 6.6763
Ba 10.5971 6.6763 6.6763
Ba 2.7555 6.6763 6.6763
Ba 6.6763 10.5971 6.6763
Ba 6.6763 6.6763 10.5971
Zn 7.7861 5.5665 5.5665
Zn 10.0145 10.0145 7.7708
Zn 10.0145 7.7708 10.0145
Zn 12.2581 10.0145 10.0145
Zn 5.5665 7.7861 5.5665
Zn 5.5665 5.5665 7.7861
Zn 7.7861 7.7861 7.7861
Zn 7.7708 10.0145 10.0145
Zn 10.0145 12.2581 10.0145
Zn 10.0145 10.0145 12.2581
In 4.4695 4.4695 4.4695
In 8.8831 8.8831 4.4695
In 8.8831 4.4695 8.8831
In 4.4695 8.8831 8.8831
O 0.0000 0.0000 0.0000
O 2.2425 2.2425 2.2425
O 4.4338 4.4338 2.2425
O 4.4338 2.2425 4.4338
O 6.6433 4.4644 4.4644
O 8.8882 6.7093 4.4644
O 8.8882 4.4644 6.7093
O 11.2434 8.7855 8.7855
O 2.2425 4.4338 4.4338
O 4.4644 6.6433 4.4644
O 6.7093 8.8882 4.4644
O 4.4644 4.4644 6.6433
O 8.8882 8.8882 6.6433
O 6.7093 4.4644 8.8882
O 8.8882 6.6433 8.8882
O 6.6763 6.6763 6.6763
O 4.4644 8.8882 6.7093
O 4.4644 6.7093 8.8882
O 6.6433 8.8882 8.8882
O 8.7855 11.2434 8.7855
O 8.7855 8.7855 11.2434
O 11.2434 11.2434 11.2434



2.
4
Lattice="3.0077 0.0000 0.0000 0.0000 3.0077 0.0000 0.0000 0.0000 9.0692" Properties=species:S:1:pos:R:3 comment="BaInOs2 GGA-PBEsol relaxed" e_tot_ev_per_atom=-6.973 pbc="T T T"
Ba 0.0000 0.0000 0.0000
In 1.5039 1.5039 2.9360
Os 0.0000 0.0000 4.9943
Os 1.5039 1.5039 6.4452



3.
4
Lattice="3.1679 0.0000 0.0000 0.0000 4.6956 0.0000 0.0000 0.0000 5.3542" Properties=species:S:1:pos:R:3 comment="BaInOs2 GGA-PBEsol relaxed" e_tot_ev_per_atom=-6.073 pbc="T T T"
Ba 0.0000 0.0000 0.0000
In 1.5840 0.0000 2.6771
Os 0.0000 2.3478 2.6771
Os 1.5840 2.3478 0.0000



4.
4
Lattice="4.7622 -1.5165 0.0000 4.7622 1.5165 0.0000 -1.0494 0.0000 6.2816" Properties=species:S:1:pos:R:3 comment="BaInOs2 GGA-PBEsol relaxed" e_tot_ev_per_atom=-6.556 pbc="T T T"
Ba 0.0000 0.0000 0.0000
In 4.2375 0.0000 3.1408
Os 1.5129 0.0000 4.0918
Os 6.9621 0.0000 2.1898



Here are the calculated theoretical density numbers, same order: 6387 12804 13189 11578 (kg/m³).